[1]
DFT (PBE) results for a geometry-optimized ScAlNi2 structure.

POSCAR file:
```
ScAlNi2
1.0
-1.853 1.853 4.129
1.853 -1.853 4.129
1.853 1.853 -4.129
Sc Al Ni
1 1 2
direct
0.000 0.000 0.000
0.750 0.250 0.500
0.250 0.750 0.500
0.500 0.500 0.000
```

Properties
As for the raw total energy: -5.88 eV per atom. For the formation enthalpy at 0 K, the calculation gives -469 meV per atom. As for the crystal system: tetragonal.

[2]
DFT (PBE) results for a geometry-optimized InCuSe2 structure.

POSCAR file:
```
InCuSe2
1.0
3.034 0.000 0.000
0.000 3.034 0.000
0.000 0.000 9.740
In Cu Se
1 1 2
direct
0.000 0.000 0.000
0.500 0.500 0.774
0.000 0.000 0.629
0.500 0.500 0.258
```

Properties
As for the raw total energy: -3.26 eV per atom. The formation energy without anion corrections comes out at 0.19 eV per atom. As for the crystal system: tetragonal.

[3]
DFT (PBE) results for a geometry-optimized Pa3Cd structure.

POSCAR file:
```
Pa3Cd
1.0
-2.305 2.305 4.617
2.305 -2.305 4.617
2.305 2.305 -4.617
Pa Cd
3 1
direct
0.000 0.000 0.000
0.250 0.750 0.500
0.750 0.250 0.500
0.500 0.500 0.000
```

Properties
The distance to the lowest polymorph of the same formula comes out at 0.115 eV/atom. As for the raw total energy: -7.17 eV per atom. For the formation enthalpy at 0 K, the calculation gives 176 meV per atom. As for the crystal system: tetragonal.

[4]
DFT (PBE) results for a geometry-optimized MgOs2Br structure.

POSCAR file:
```
MgOs2Br
1.0
1.486 -2.489 0.000
1.486 2.489 0.000
0.000 0.000 9.694
Mg Os Br
1 2 1
direct
0.000 0.000 0.000
0.000 0.000 0.446
0.500 0.500 0.233
0.500 0.500 0.774
```

Properties
The distance to the lowest polymorph of the same formula comes out at 0.485 eV/atom. As for the raw total energy: -5.69 eV per atom. The formation energy without anion corrections comes out at 0.74 eV per atom. As for the crystal system: orthorhombic.

[5]
DFT (PBE) results for a geometry-optimized KZn2P structure.

POSCAR file:
```
KZn2P
1.0
-4.030 4.030 3.253
4.030 -4.030 3.253
4.030 4.030 -3.253
K Zn P
2 4 2
direct
0.000 0.000 0.000
0.750 0.250 0.500
0.241 0.125 0.616
0.375 0.759 0.884
0.509 0.625 0.384
0.875 0.491 0.116
0.250 0.750 0.500
0.500 0.500 0.000
```

Properties
As for the raw total energy: -2.20 eV per atom. For the formation enthalpy at 0 K, the calculation gives 60 meV per atom. As for the crystal system: tetragonal.

[6]
DFT (PBE) results for a geometry-optimized PaSi2AgO8 structure.

POSCAR file:
```
PaSi2AgO8
1.0
5.613 0.000 0.000
-2.806 4.861 0.000
0.000 0.000 6.777
Pa Si Ag O
1 2 1 8
direct
0.000 0.000 0.000
0.333 0.667 0.719
0.667 0.333 0.281
0.000 0.000 0.500
0.174 0.348 0.800
0.174 0.826 0.800
0.333 0.667 0.477
0.348 0.174 0.200
0.652 0.826 0.800
0.667 0.333 0.523
0.826 0.174 0.200
0.826 0.652 0.200
```

Properties
As for the raw total energy: -7.41 eV per atom. The formation energy without anion corrections comes out at -2.17 eV per atom. As for the crystal system: trigonal.

[7]
DFT (PBE) results for a geometry-optimized K3Er3NbS8 structure.

POSCAR file:
```
K3Er3NbS8
1.0
3.900 2.252 7.515
-3.900 2.252 7.515
0.000 -4.504 7.515
K Er Nb S
3 3 1 8
direct
0.000 0.500 0.500
0.500 0.000 0.500
0.500 0.500 0.000
0.000 0.000 0.500
0.000 0.500 0.000
0.500 0.000 0.000
0.500 0.500 0.500
0.234 0.234 0.234
0.250 0.720 0.720
0.280 0.280 0.750
0.280 0.750 0.280
0.720 0.250 0.720
0.720 0.720 0.250
0.750 0.280 0.280
0.766 0.766 0.766
```

Properties
As for the raw total energy: -5.67 eV per atom. The formation energy without anion corrections comes out at -1.67 eV per atom. As for the crystal system: trigonal.

[8]
DFT (PBE) results for a geometry-optimized Sc2Mn3Si4 structure.

POSCAR file:
```
Sc2Mn3Si4
1.0
6.390 0.000 0.000
0.000 6.396 0.000
-2.170 0.000 6.013
Sc Mn Si
4 6 8
direct
0.189 0.168 0.054
0.189 0.332 0.554
0.811 0.668 0.446
0.811 0.832 0.946
0.240 0.646 0.257
0.240 0.854 0.757
0.500 0.000 0.500
0.500 0.500 0.000
0.760 0.146 0.243
0.760 0.354 0.743
0.103 0.552 0.874
0.103 0.948 0.374
0.488 0.643 0.634
0.488 0.857 0.134
0.512 0.143 0.866
0.512 0.357 0.366
0.897 0.052 0.626
0.897 0.448 0.126
```

Properties
As for the raw total energy: -7.50 eV per atom. The formation energy without anion corrections comes out at -0.63 eV per atom. As for the crystal system: monoclinic.

[9]
DFT (PBE) results for a geometry-optimized Ac2La15Pm2 structure.

POSCAR file:
```
Ac2La15Pm2
1.0
5.883 3.396 6.010
-5.883 3.396 6.010
0.000 -6.793 6.010
Ac La Pm
2 15 2
direct
0.168 0.168 0.168
0.832 0.832 0.832
0.000 0.500 0.500
0.136 0.136 0.652
0.136 0.652 0.136
0.204 0.500 0.796
0.204 0.796 0.500
0.348 0.864 0.864
0.500 0.000 0.500
0.500 0.204 0.796
0.500 0.500 0.000
0.500 0.796 0.204
0.652 0.136 0.136
0.796 0.204 0.500
0.796 0.500 0.204
0.864 0.348 0.864
0.864 0.864 0.348
0.408 0.408 0.408
0.592 0.592 0.592
```

Properties
As for the raw total energy: -4.65 eV per atom. For the formation enthalpy at 0 K, the calculation gives 172 meV per atom. As for the crystal system: trigonal.

[10]
DFT (PBE) results for a geometry-optimized Ce2GeSe structure.

POSCAR file:
```
Ce2GeSe
1.0
2.121 1.225 6.871
-2.121 1.225 6.871
0.000 -2.449 6.871
Ce Ge Se
2 1 1
direct
0.249 0.249 0.249
0.751 0.751 0.751
0.500 0.500 0.500
0.000 0.000 0.000
```

Properties
The distance to the lowest polymorph of the same formula comes out at 0.019 eV/atom. As for the raw total energy: -6.28 eV per atom. The formation energy without anion corrections comes out at -1.29 eV per atom. As for the crystal system: trigonal.

[11]
DFT (PBE) results for a geometry-optimized Sr3NbPb structure.

POSCAR file:
```
Sr3NbPb
1.0
5.855 0.000 0.000
0.000 5.855 0.000
0.000 0.000 5.855
Sr Nb Pb
3 1 1
direct
0.000 0.000 0.500
0.000 0.500 0.000
0.500 0.000 0.000
0.000 0.000 0.000
0.500 0.500 0.500
```

Properties
The distance to the lowest polymorph of the same formula comes out at 0.024 eV/atom. As for the raw total energy: -2.98 eV per atom. For the formation enthalpy at 0 K, the calculation gives 782 meV per atom. As for the crystal system: cubic.

[12]
DFT (PBE) results for a geometry-optimized U2Si3Pt9 structure.

POSCAR file:
```
U2Si3Pt9
1.0
6.639 -3.838 0.000
6.639 3.838 0.000
-4.483 0.000 9.144
U Si Pt
4 6 18
direct
0.086 0.259 0.247
0.259 0.086 0.747
0.741 0.914 0.253
0.914 0.741 0.753
0.000 0.500 0.000
0.149 0.678 0.503
0.322 0.851 0.997
0.500 0.000 0.500
0.678 0.149 0.003
0.851 0.322 0.497
0.010 0.871 0.080
0.129 0.990 0.420
0.191 0.357 0.568
0.202 0.582 0.261
0.293 0.493 0.936
0.357 0.191 0.068
0.360 0.640 0.750
0.418 0.798 0.239
0.493 0.293 0.436
0.507 0.707 0.564
0.582 0.202 0.761
0.640 0.360 0.250
0.643 0.809 0.932
0.707 0.507 0.064
0.798 0.418 0.739
0.809 0.643 0.432
0.871 0.010 0.580
0.990 0.129 0.920
```

Properties
As for the raw total energy: -7.37 eV per atom. The formation energy without anion corrections comes out at -0.72 eV per atom. As for the crystal system: monoclinic.

[13]
DFT (PBE) results for a geometry-optimized PuTeSe2O structure.

POSCAR file:
```
PuTeSe2O
1.0
4.094 0.000 0.000
0.000 4.094 0.000
0.000 0.000 13.584
Pu Te Se O
2 2 4 2
direct
0.250 0.250 0.084
0.750 0.750 0.916
0.250 0.250 0.616
0.750 0.750 0.384
0.250 0.250 0.390
0.250 0.250 0.811
0.750 0.750 0.189
0.750 0.750 0.610
0.250 0.750 0.000
0.750 0.250 0.000
```

Properties
As for the raw total energy: -7.18 eV per atom. The formation energy without anion corrections comes out at -1.30 eV per atom. As for the crystal system: tetragonal.

[14]
DFT (PBE) results for a geometry-optimized MoPb structure.

POSCAR file:
```
MoPb
1.0
8.365 0.000 0.000
-4.182 7.244 0.000
0.000 0.000 4.785
Mo Pb
6 6
direct
0.124 0.562 0.250
0.438 0.562 0.250
0.438 0.876 0.250
0.562 0.124 0.750
0.562 0.438 0.750
0.876 0.438 0.750
0.191 0.382 0.750
0.191 0.809 0.750
0.382 0.191 0.250
0.618 0.809 0.750
0.809 0.191 0.250
0.809 0.618 0.250
```

Properties
The distance to the lowest polymorph of the same formula comes out at 0.220 eV/atom. As for the raw total energy: -6.72 eV per atom. For the formation enthalpy at 0 K, the calculation gives 546 meV per atom. As for the crystal system: hexagonal.

[15]
DFT (PBE) results for a geometry-optimized Co2Pt structure.

POSCAR file:
```
Co2Pt
1.0
4.751 0.000 0.000
-2.375 4.114 0.000
0.000 0.000 15.457
Co Pt
16 8
direct
0.000 0.500 0.000
0.000 0.500 0.500
0.161 0.323 0.250
0.161 0.839 0.250
0.323 0.161 0.750
0.333 0.667 0.128
0.333 0.667 0.372
0.500 0.000 0.000
0.500 0.000 0.500
0.500 0.500 0.000
0.500 0.500 0.500
0.667 0.333 0.628
0.667 0.333 0.872
0.677 0.839 0.250
0.839 0.161 0.750
0.839 0.677 0.750
0.000 0.000 0.091
0.000 0.000 0.409
0.000 0.000 0.591
0.000 0.000 0.909
0.333 0.667 0.656
0.333 0.667 0.844
0.667 0.333 0.156
0.667 0.333 0.344
```

Properties
As for the raw total energy: -6.78 eV per atom. For the formation enthalpy at 0 K, the calculation gives -24 meV per atom. As for the crystal system: hexagonal.

[16]
DFT (PBE) results for a geometry-optimized BaPrTeO6 structure.

POSCAR file:
```
BaPrTeO6
1.0
5.905 0.000 0.000
-2.952 5.114 0.000
0.000 0.000 5.531
Ba Pr Te O
1 1 1 6
direct
0.000 0.000 0.000
0.667 0.333 0.500
0.333 0.667 0.500
0.055 0.400 0.299
0.055 0.655 0.701
0.345 0.400 0.701
0.345 0.945 0.299
0.600 0.655 0.299
0.600 0.945 0.701
```

Properties
As for the raw total energy: -6.38 eV per atom. The formation energy without anion corrections comes out at -1.98 eV per atom. As for the crystal system: trigonal.

[17]
DFT (PBE) results for a geometry-optimized ErZrRu4 structure.

POSCAR file:
```
ErZrRu4
1.0
0.000 3.720 3.720
3.720 0.000 3.720
3.720 3.720 0.000
Er Zr Ru
1 1 4
direct
0.000 0.000 0.000
0.250 0.250 0.250
0.126 0.625 0.625
0.625 0.126 0.625
0.625 0.625 0.126
0.625 0.625 0.625
```

Properties
As for the raw total energy: -8.70 eV per atom. For the formation enthalpy at 0 K, the calculation gives -330 meV per atom. As for the crystal system: cubic.

[18]
DFT (PBE) results for a geometry-optimized BeOs2Ru structure.

POSCAR file:
```
BeOs2Ru
1.0
-1.840 1.840 3.896
1.840 -1.840 3.896
1.840 1.840 -3.896
Be Os Ru
1 2 1
direct
0.000 0.000 0.000
0.250 0.750 0.500
0.500 0.500 0.000
0.750 0.250 0.500
```

Properties
As for the raw total energy: -8.65 eV per atom. For the formation enthalpy at 0 K, the calculation gives 213 meV per atom. As for the crystal system: tetragonal.

[19]
DFT (PBE) results for a geometry-optimized Ba2Na2Zn structure.

POSCAR file:
```
Ba2Na2Zn
1.0
-2.176 2.176 10.946
2.176 -2.176 10.946
2.176 2.176 -10.946
Ba Na Zn
2 2 1
direct
0.087 0.087 0.000
0.913 0.913 0.000
0.250 0.750 0.500
0.750 0.250 0.500
0.500 0.500 0.000
```

Properties
The distance to the lowest polymorph of the same formula comes out at 0.099 eV/atom. As for the raw total energy: -1.54 eV per atom. For the formation enthalpy at 0 K, the calculation gives 9 meV per atom. As for the crystal system: tetragonal.

[20]
DFT (PBE) results for a geometry-optimized AlGeMo structure.

POSCAR file:
```
AlGeMo
1.0
4.849 0.000 0.000
-2.425 4.200 0.000
0.000 0.000 6.723
Al Ge Mo
3 3 3
direct
0.001 0.500 0.000
0.500 0.500 0.667
0.500 0.999 0.333
0.341 0.170 0.000
0.830 0.170 0.667
0.830 0.659 0.333
0.164 0.327 0.333
0.164 0.836 0.667
0.673 0.836 0.000
```

Properties
As for the raw total energy: -6.68 eV per atom. For the formation enthalpy at 0 K, the calculation gives -284 meV per atom. As for the crystal system: trigonal.

[21]
DFT (PBE) results for a geometry-optimized Ca2CeGe3Pt4 structure.

POSCAR file:
```
Ca2CeGe3Pt4
1.0
4.367 0.000 0.000
0.000 4.367 0.000
0.000 0.000 11.061
Ca Ce Ge Pt
2 1 3 4
direct
0.000 0.500 0.221
0.500 0.000 0.779
0.000 0.000 0.500
0.000 0.500 0.881
0.500 0.000 0.119
0.500 0.500 0.500
0.000 0.000 0.000
0.000 0.500 0.660
0.500 0.000 0.340
0.500 0.500 0.000
```

Properties
As for the raw total energy: -5.62 eV per atom. For the formation enthalpy at 0 K, the calculation gives -829 meV per atom. As for the crystal system: tetragonal.

[22]
DFT (PBE) results for a geometry-optimized Tb6Y2Tm structure.

POSCAR file:
```
Tb6Y2Tm
1.0
3.558 0.000 0.000
0.011 8.702 0.000
1.768 -0.001 9.233
Tb Y Tm
6 2 1
direct
0.112 0.332 0.277
0.222 0.667 0.055
0.333 0.000 0.832
0.667 0.000 0.168
0.778 0.333 0.945
0.888 0.668 0.723
0.445 0.333 0.611
0.555 0.667 0.389
0.000 0.000 0.500
```

Properties
The distance to the lowest polymorph of the same formula comes out at 0.000 eV/atom. As for the raw total energy: -5.00 eV per atom. For the formation enthalpy at 0 K, the calculation gives 18 meV per atom. As for the crystal system: triclinic.